Density functional theory data (GGA-PBEsol) for crystalline Sr2TlRh at its relaxed geometry.

Geometry as CIF:
```
data_Sr2TlRh
_chemical_formula_sum 'Sr4 Tl2 Rh2'
_cell_length_a 4.499
_cell_length_b 4.563
_cell_length_c 11.505
_cell_angle_alpha 90.00
_cell_angle_beta 90.00
_cell_angle_gamma 90.00
_space_group_name_H-M_alt 'A m m 2'
_space_group_IT_number 38
_space_group_name_Hall 'A 2 -2'
loop_
_atom_site_label
_atom_site_type_symbol
_atom_site_fract_x
_atom_site_fract_y
_atom_site_fract_z
Sr1 Sr 0.000 0.000 0.000
Sr2 Sr 0.500 0.000 0.286
Tl1 Tl 0.500 0.000 0.582
Rh1 Rh 0.000 0.000 0.712
```

Properties
total moment	0.00	μB per formula unit
energy relative to the elements	-0.25	eV per atom
N(E_F)	4.60	states/eV/cell

Density functional theory data (GGA-PBEsol) for crystalline KTi2Br at its relaxed geometry.

Geometry as CIF:
```
data_KTi2Br
_chemical_formula_sum 'K4 Ti8 Br4'
_cell_length_a 6.908
_cell_length_b 6.908
_cell_length_c 6.908
_cell_angle_alpha 90.00
_cell_angle_beta 90.00
_cell_angle_gamma 90.00
_space_group_name_H-M_alt 'F m -3 m'
_space_group_IT_number 225
_space_group_name_Hall '-F 4 2 3'
loop_
_atom_site_label
_atom_site_type_symbol
_atom_site_fract_x
_atom_site_fract_y
_atom_site_fract_z
K1 K 0.000 0.000 0.000
Ti1 Ti 0.250 0.250 0.250
Br1 Br 0.000 0.000 0.500
```

Properties
total moment	1.12	μB per formula unit
N(E_F)	28.12	states/eV/cell
formation energy (no corrections)	1.156	eV per atom

Density functional theory data (GGA-PBEsol) for crystalline NaAl2Ru at its relaxed geometry.

Geometry as CIF:
```
data_NaAl2Ru
_chemical_formula_sum 'Na4 Al8 Ru4'
_cell_length_a 5.336
_cell_length_b 5.336
_cell_length_c 15.379
_cell_angle_alpha 90.00
_cell_angle_beta 90.00
_cell_angle_gamma 90.00
_space_group_name_H-M_alt 'I 41/a m d'
_space_group_IT_number 141
loop_
_space_group_symop_operation_xyz
'x,y,z'
'-x,-y,-z'
'-y+1/4,x+3/4,z+1/4'
'y+1/4,-x+3/4,-z+1/4'
'-x+1/2,-y,z+1/2'
'x+1/2,y,-z+1/2'
'y+1/4,-x+1/4,z+3/4'
'-y+1/4,x+1/4,-z+3/4'
'x,-y,-z'
'-x,y,z'
'-y+1/4,-x+1/4,-z+3/4'
'y+1/4,x+1/4,z+3/4'
'-x+1/2,y,-z+1/2'
'x+1/2,-y,z+1/2'
'y+1/4,x+3/4,-z+1/4'
'-y+1/4,-x+3/4,z+1/4'
'x+1/2,y+1/2,z+1/2'
'-x+1/2,-y+1/2,-z+1/2'
'-y+3/4,x+1/4,z+3/4'
'y+3/4,-x+1/4,-z+3/4'
'-x,-y+1/2,z'
'x,y+1/2,-z'
'y+3/4,-x+3/4,z+1/4'
'-y+3/4,x+3/4,-z+1/4'
'x+1/2,-y+1/2,-z+1/2'
'-x+1/2,y+1/2,z+1/2'
'-y+3/4,-x+3/4,-z+1/4'
'y+3/4,x+3/4,z+1/4'
'-x,y+1/2,-z'
'x,-y+1/2,z'
'y+3/4,x+1/4,-z+3/4'
'-y+3/4,-x+1/4,z+3/4'
loop_
_atom_site_label
_atom_site_type_symbol
_atom_site_fract_x
_atom_site_fract_y
_atom_site_fract_z
Na1 Na 0.000 0.250 0.375
Al1 Al 0.000 0.000 0.000
Ru1 Ru 0.000 0.250 0.875
```

Properties
total moment	0.00	μB per formula unit
energy relative to the elements	0.55	eV per atom
N(E_F)	8.97	states/eV/cell
energy relative to the lowest polymorph listed for this composition	550	meV per atom

Density functional theory data (GGA-PBEsol) for crystalline CeB2Rh3 at its relaxed geometry.

Geometry as CIF:
```
data_CeB2Rh3
_chemical_formula_sum 'Ce1 B2 Rh3'
_cell_length_a 5.3875
_cell_length_b 5.3875
_cell_length_c 3.0956
_cell_angle_alpha 90.00
_cell_angle_beta 90.00
_cell_angle_gamma 120.00
_space_group_name_H-M_alt 'P 6/m m m'
_space_group_IT_number 191
_space_group_name_Hall '-P 6 2'
loop_
_atom_site_label
_atom_site_type_symbol
_atom_site_fract_x
_atom_site_fract_y
_atom_site_fract_z
Ce1 Ce 0.0000 0.0000 0.0000
B1 B 0.3333 0.6667 0.0000
Rh1 Rh 0.0000 0.5000 0.5000
```

Properties
total moment	0.52	μB per formula unit
energy relative to the elements	-0.71	eV per atom
N(E_F)	4.50	states/eV/cell

Density functional theory data (GGA-PBEsol) for crystalline Al2TcOs at its relaxed geometry.

Geometry as CIF:
```
data_Al2TcOs
_chemical_formula_sum 'Al4 Tc2 Os2'
_cell_length_a 2.993
_cell_length_b 4.610
_cell_length_c 8.147
_cell_angle_alpha 90.00
_cell_angle_beta 90.00
_cell_angle_gamma 90.00
_space_group_name_H-M_alt 'C m m m'
_space_group_IT_number 65
_space_group_name_Hall '-C 2 2'
loop_
_atom_site_label
_atom_site_type_symbol
_atom_site_fract_x
_atom_site_fract_y
_atom_site_fract_z
Al1 Al 0.000 0.000 0.249
Tc1 Tc 0.000 0.500 0.500
Os1 Os 0.000 0.500 0.000
```

Properties
total moment	0.00	μB per formula unit
energy relative to the elements	-0.12	eV per atom
N(E_F)	6.43	states/eV/cell

Density functional theory data (GGA-PBEsol) for crystalline ZnTe3 at its relaxed geometry.

Geometry as CIF:
```
data_ZnTe3
_chemical_formula_sum 'Zn1 Te3'
_cell_length_a 5.282
_cell_length_b 5.282
_cell_length_c 5.282
_cell_angle_alpha 90.00
_cell_angle_beta 90.00
_cell_angle_gamma 90.00
_space_group_name_H-M_alt 'P m -3 m'
_space_group_IT_number 221
_space_group_name_Hall '-P 4 2 3'
loop_
_atom_site_label
_atom_site_type_symbol
_atom_site_fract_x
_atom_site_fract_y
_atom_site_fract_z
Zn1 Zn 0.000 0.000 0.000
Te1 Te 0.000 0.000 0.500
```

Properties
total moment	0.00	μB per formula unit
N(E_F)	4.85	states/eV/cell
formation energy (no corrections)	0.541	eV per atom

Density functional theory data (GGA-PBEsol) for crystalline CuB3H at its relaxed geometry.

Geometry as CIF:
```
data_CuB3H
_chemical_formula_sum 'Cu1 B3 H1'
_cell_length_a 3.749
_cell_length_b 3.749
_cell_length_c 3.749
_cell_angle_alpha 90.00
_cell_angle_beta 90.00
_cell_angle_gamma 90.00
_space_group_name_H-M_alt 'P m -3 m'
_space_group_IT_number 221
_space_group_name_Hall '-P 4 2 3'
loop_
_atom_site_label
_atom_site_type_symbol
_atom_site_fract_x
_atom_site_fract_y
_atom_site_fract_z
Cu1 Cu 0.000 0.000 0.000
B1 B 0.000 0.000 0.500
H1 H 0.500 0.500 0.500
```

Properties
total moment	0.00	μB per formula unit
N(E_F)	1.06	states/eV/cell
final energy	-3.8649	eV per atom

Density functional theory data (GGA-PBEsol) for crystalline TbPPt at its relaxed geometry.

Geometry as CIF:
```
data_TbPPt
_chemical_formula_sum 'Tb1 P1 Pt1'
_cell_length_a 4.0967
_cell_length_b 4.0967
_cell_length_c 3.8249
_cell_angle_alpha 90.00
_cell_angle_beta 90.00
_cell_angle_gamma 120.00
_space_group_name_H-M_alt 'P -6 m 2'
_space_group_IT_number 187
_space_group_name_Hall 'P -6 2'
loop_
_atom_site_label
_atom_site_type_symbol
_atom_site_fract_x
_atom_site_fract_y
_atom_site_fract_z
Tb1 Tb 0.0000 0.0000 0.0000
P1 P 0.6667 0.3333 0.5000
Pt1 Pt 0.3333 0.6667 0.5000
```

Properties
total moment	0.00	μB per formula unit
energy relative to the elements	-1.40	eV per atom
N(E_F)	1.19	states/eV/cell

Density functional theory data (GGA-PBEsol) for crystalline TlTeP2 at its relaxed geometry.

Geometry as CIF:
```
data_TlTeP2
_chemical_formula_sum 'Tl2 Te2 P4'
_cell_length_a 7.849
_cell_length_b 7.840
_cell_length_c 2.938
_cell_angle_alpha 90.00
_cell_angle_beta 90.53
_cell_angle_gamma 90.00
_space_group_name_H-M_alt 'C 1 2/m 1'
_space_group_IT_number 12
_space_group_name_Hall '-C 2y'
loop_
_atom_site_label
_atom_site_type_symbol
_atom_site_fract_x
_atom_site_fract_y
_atom_site_fract_z
Tl1 Tl 0.000 0.000 0.000
Te1 Te 0.000 0.500 0.000
P1 P 0.250 0.250 0.000
```

Properties
total moment	0.00	μB per formula unit
N(E_F)	4.81	states/eV/cell
energy relative to the lowest polymorph listed for this composition	340	meV per atom
formation energy (no corrections)	0.399	eV per atom

Density functional theory data (GGA-PBEsol) for crystalline Rb3NbTc at its relaxed geometry.

Geometry as CIF:
```
data_Rb3NbTc
_chemical_formula_sum 'Rb3 Nb1 Tc1'
_cell_length_a 6.724
_cell_length_b 6.724
_cell_length_c 6.724
_cell_angle_alpha 90.00
_cell_angle_beta 90.00
_cell_angle_gamma 90.00
_space_group_name_H-M_alt 'P m -3 m'
_space_group_IT_number 221
_space_group_name_Hall '-P 4 2 3'
loop_
_atom_site_label
_atom_site_type_symbol
_atom_site_fract_x
_atom_site_fract_y
_atom_site_fract_z
Rb1 Rb 0.000 0.000 0.500
Nb1 Nb 0.000 0.000 0.000
Tc1 Tc 0.500 0.500 0.500
```

Properties
total moment	9.36	μB per formula unit
energy relative to the elements	2.40	eV per atom
N(E_F)	8.69	states/eV/cell